Mo3AsIr | PBE-GGA | relaxed

Summary:
- density of states at the Fermi level (states/eV per atom) = 0.94
- DFT formation energy (kJ/mol of atoms) = 126.17
- volume (Å³/atom) = 18.52
- uncorrected energy (eV for the cell shown) = -39.47
- total magnetic moment (μB per formula unit) = 0.00

Unit cell a=4.5243 b=4.5243 c=4.5243 alpha=90.00 beta=90.00 gamma=90.00
With the nearest neighbours (Å) after each atom.
Space group Pm-3m (No. 221)
Asymmetric unit:
1 Mo 0.0000 0.0000 0.5000 x3  2 As 2.26
2 As 0.0000 0.0000 0.0000 x1  6 Mo 2.26
3 Ir 0.5000 0.5000 0.5000 x1  12 Mo 3.20